# Gd2GeMoO8, relaxed, DFT GGA+U
data_Gd2GeMoO8
_chemical_formula_sum 'Gd4 Ge2 Mo2 O16'
_cell_length_a 5.1958
_cell_length_b 5.1958
_cell_length_c 11.2999
_cell_angle_alpha 90.00
_cell_angle_beta 90.00
_cell_angle_gamma 90.00
_space_group_name_H-M_alt 'I -4'
_space_group_IT_number 82
loop_
_space_group_symop_operation_xyz
'x,y,z'
'y,-x,-z'
'-x,-y,z'
'-y,x,-z'
'x+1/2,y+1/2,z+1/2'
'y+1/2,-x+1/2,-z+1/2'
'-x+1/2,-y+1/2,z+1/2'
'-y+1/2,x+1/2,-z+1/2'
loop_
_atom_site_label
_atom_site_fract_x
_atom_site_fract_y
_atom_site_fract_z
Gd1 0.0000 0.0000 0.0000
Gd2 0.0000 0.5000 0.2500
Ge1 0.0000 0.0000 0.5000
Mo1 0.0000 0.5000 0.7500
O1 0.1539 0.2420 0.8317
O2 0.1645 0.7585 0.4140
# Theoretical density: 6.65 g/cm³
# Energy: -9.1127 eV per atom